[1]
Entry from Alexandria via LeMat-Bulk: SiTcPt2 at its PBEsol-relaxed geometry (SCAN).

Computed properties:
**Formation energy without anion corrections**: -0.8 eV per formula unit
**Density**: 15.14 Mg/m³
**VASP energy**: -186.25 eV for the cell shown

Cell: 2.730 3.915 5.297 Å, 90.00 90.00 90.00°
Positions (direct):
1 Si 0.000 0.000 0.000
2 Tc 0.000 0.000 0.500
3 Pt 0.500 0.500 0.252
4 Pt 0.500 0.500 0.748



[2]
Entry from Alexandria via LeMat-Bulk: CrTcW2 at its PBEsol-relaxed geometry (SCAN).

Computed properties:
**Energy above the lowest structure with this stoichiometry**: 0.054 eV/atom
**Density**: 15.04 Mg/m³
**Formation energy**: 0.07 eV per atom
**VASP energy**: -192.53 eV for the cell shown

Cell: 2.677 4.267 5.079 Å, 90.00 99.96 90.00°
Positions (direct):
1 Cr 0.000 0.000 0.000
2 Tc 0.500 0.000 0.500
3 W 0.243 0.500 0.755
4 W 0.757 0.500 0.245



[3]
Entry from Alexandria via LeMat-Bulk: Zr2CdRh at its PBEsol-relaxed geometry (SCAN).

Computed properties:
**Density**: 8.71 Mg/m³
**Formation energy**: -0.45 eV per atom
**VASP energy**: -127.38 eV for the cell shown

Cell: 3.273 3.273 7.082 Å, 90.00 90.00 90.00°
Positions (direct):
1 Zr 0.000 0.000 0.000
2 Zr 0.500 0.500 0.286
3 Cd 0.000 0.000 0.566
4 Rh 0.500 0.500 0.803



[4]
Entry from Alexandria via LeMat-Bulk: K2CdHg at its PBEsol-relaxed geometry (SCAN).

Computed properties:
**Density**: 4.64 Mg/m³
**Formation energy**: -0.12 eV per atom
**VASP energy**: -231.48 eV for the cell shown

Cell: 7.760 9.046 3.992 Å, 90.00 90.00 90.00°
Positions (direct):
1 K 0.250 0.250 0.000
2 K 0.250 0.750 0.000
3 K 0.750 0.250 0.000
4 K 0.750 0.750 0.000
5 Cd 0.000 0.000 0.500
6 Cd 0.500 0.500 0.500
7 Hg 0.000 0.500 0.500
8 Hg 0.500 0.000 0.500



[5]
Entry from Alexandria via LeMat-Bulk: N at its PBEsol-relaxed geometry (SCAN).

Computed properties:
**Formation energy without anion corrections**: 0.0 eV per formula unit
**Energy above the lowest structure with this stoichiometry**: 0.000 eV/atom
**Density**: 1.01 Mg/m³
**VASP energy**: -74.33 eV for the cell shown

Cell: 5.695 5.695 5.695 Å, 90.00 90.00 90.00°
Positions (direct):
1 N 0.056 0.056 0.056
2 N 0.056 0.444 0.556
3 N 0.444 0.556 0.056
4 N 0.444 0.944 0.556
5 N 0.556 0.056 0.444
6 N 0.556 0.444 0.944
7 N 0.944 0.556 0.444
8 N 0.944 0.944 0.944



[6]
Entry from Alexandria via LeMat-Bulk: CdNiAu at its PBEsol-relaxed geometry (SCAN).

Computed properties:
**Density**: 11.01 Mg/m³
**Formation energy**: 0.41 eV per atom
**VASP energy**: -458.02 eV for the cell shown

Cell: 6.056 6.056 6.056 Å, 90.00 90.00 90.00°
Positions (direct):
1 Cd 0.000 0.000 0.000
2 Cd 0.000 0.500 0.500
3 Cd 0.500 0.000 0.500
4 Cd 0.500 0.500 0.000
5 Ni 0.250 0.250 0.750
6 Ni 0.250 0.750 0.250
7 Ni 0.750 0.250 0.250
8 Ni 0.750 0.750 0.750
9 Au 0.250 0.250 0.250
10 Au 0.250 0.750 0.750
11 Au 0.750 0.250 0.750
12 Au 0.750 0.750 0.250



[7]
Entry from Alexandria via LeMat-Bulk: AlTl2F5 at its PBEsol-relaxed geometry (SCAN).

Computed properties:
**Formation energy without anion corrections**: -22.9 eV per formula unit
**Density**: 6.20 Mg/m³
**VASP energy**: -193.10 eV for the cell shown

Cell: 6.185 6.185 3.718 Å, 90.00 90.00 90.00°
Positions (direct):
1 Al 0.000 0.000 0.000
2 Tl 0.000 0.500 0.500
3 Tl 0.500 0.000 0.500
4 F 0.000 0.000 0.500
5 F 0.206 0.206 0.000
6 F 0.206 0.794 0.000
7 F 0.794 0.206 0.000
8 F 0.794 0.794 0.000



[8]
Entry from Alexandria via LeMat-Bulk: ZnPdF6 at its PBEsol-relaxed geometry (SCAN).

Computed properties:
**Formation energy without anion corrections**: -14.8 eV per formula unit
**Density**: 4.91 Mg/m³
**VASP energy**: -82.36 eV for the cell shown

Cell: 5.357 5.357 5.357 Å, 55.22 55.22 55.22°
Positions (direct):
1 Zn 0.000 0.000 0.000
2 Pd 0.500 0.500 0.500
3 F 0.110 0.740 0.404
4 F 0.260 0.596 0.890
5 F 0.404 0.110 0.740
6 F 0.596 0.890 0.260
7 F 0.740 0.404 0.110
8 F 0.890 0.260 0.596